SrCoRu: optimized geometry, PBE.

a = 3.363 Å, b = 3.363 Å, c = 10.862 Å
α = 90.00°, β = 90.00°, γ = 90.00°
Space group I4mm (No. 107)
One atom of each set of equivalent atoms:
Sr  0.000  0.000  0.000 x2
Co  0.000  0.000  0.724 x2
Ru  0.000  0.000  0.279 x2

Calculated values
Energy above the most stable polymorph in this dataset in meV/atom: 196


TlTc2Se: optimized geometry, PBE.

a = 3.116 Å, b = 3.116 Å, c = 6.930 Å
α = 90.00°, β = 90.00°, γ = 90.00°
Space group P4/mmm (No. 123)
One atom of each set of equivalent atoms:
Tl  0.000  0.000  0.000 x1
Tc  0.500  0.500  0.291 x2
Se  0.000  0.000  0.500 x1

Calculated values
Energy above the most stable polymorph in this dataset in meV/atom: 294
Uncorrected formation energy in meV/atom: 502


CsBaInAs2: optimized geometry, PBE.

a = 17.450 Å, b = 4.634 Å, c = 10.791 Å
α = 90.00°, β = 117.52°, γ = 90.00°
Space group C2/m (No. 12)
One atom of each set of equivalent atoms:
Cs  0.101  0.000  0.429 x4
Ba  0.234  0.000  0.157 x4
In  0.057  0.500  0.903 x4
As  0.115  0.500  0.190 x4
As  0.119  0.000  0.821 x4


Going through the records in order, we get raw total energy values of -5.5884, -6.1441, -3.6141 eV per atom.